1.
Computed, not measured: a geometry-optimized Tb3Nd4Sm4 structure at the PBE-GGA level of DFT.

Computed properties:
Space group   No. 38
ΔE_f   144.7 meV/atom
Distance to the lowest polymorph of the same formula   20 meV per atom
Crystal system   orthorhombic

Lattice parameters (Å, degrees): 5.763 6.740 10.763 90.00 90.00 115.31
Sites, in units of the cell vectors:
Tb 0.254 0.508 0.000
Sm 0.104 0.207 0.300
Tb 0.408 0.817 0.708
Sm 0.616 0.232 0.500
Sm 0.548 0.096 0.000
Sm 0.104 0.207 0.700
Nd 0.755 0.509 0.794
Nd 0.755 0.509 0.206
Nd 0.959 0.918 0.000
Nd 0.888 0.776 0.500
Tb 0.408 0.817 0.292

2.
Computed, not measured: a geometry-optimized K3Pu2NpO6 structure at the PBE-GGA level of DFT.

Computed properties:
Energy relative to the elements, uncorrected   -2.3506 eV/atom
Space group   No. 12
Crystal system   monoclinic

Lattice parameters (Å, degrees): 6.182 6.182 6.612 98.97 98.97 120.00
Sites, in units of the cell vectors:
O 0.938 0.612 0.813
Pu 0.667 0.333 0.000
O 0.737 0.737 0.187
O 0.062 0.388 0.187
K 0.500 0.500 0.500
Np 0.000 0.000 0.000
O 0.612 0.938 0.813
K 0.833 0.167 0.500
O 0.388 0.062 0.187
Pu 0.333 0.667 0.000
K 0.167 0.833 0.500
O 0.263 0.263 0.813

3.
Computed, not measured: a geometry-optimized ScTe3As structure at the PBE-GGA level of DFT.

Computed properties:
Energy relative to the elements, uncorrected   0.1812 eV/atom
Space group   No. 221
Crystal system   cubic

Lattice parameters (Å, degrees): 5.365 5.365 5.365 90.00 90.00 90.00
Sites, in units of the cell vectors:
As 0.000 0.000 0.000
Te 0.500 0.000 0.000
Te 0.000 0.000 0.500
Sc 0.500 0.500 0.500
Te 0.000 0.500 0.000

4.
Computed, not measured: a geometry-optimized ZrZn2As structure at the PBE-GGA level of DFT.

Computed properties:
Space group   No. 216
ΔE_f   -63.9 meV/atom
Crystal system   cubic

Lattice parameters (Å, degrees): 4.673 4.673 4.673 60.00 60.00 60.00
Sites, in units of the cell vectors:
Zn 0.750 0.750 0.750
As 0.500 0.500 0.500
Zn 0.000 0.000 0.000
Zr 0.250 0.250 0.250

5.
Computed, not measured: a geometry-optimized Nd4SmS4 structure at the PBE-GGA level of DFT.

Computed properties:
Energy relative to the elements, uncorrected   -1.7791 eV/atom
Space group   No. 87
Crystal system   tetragonal

Lattice parameters (Å, degrees): 5.738 6.982 6.985 80.27 65.75 65.74
Sites, in units of the cell vectors:
S 0.299 0.800 0.603
Sm 0.000 0.000 0.000
S 0.901 0.398 0.800
S 0.099 0.602 0.200
S 0.701 0.200 0.397
Nd 0.196 0.201 0.406
Nd 0.804 0.799 0.594
Nd 0.397 0.406 0.799
Nd 0.603 0.594 0.201

6.
Computed, not measured: a geometry-optimized SbOsCl2 structure at the PBE-GGA level of DFT.

Computed properties:
Energy relative to the elements, uncorrected   0.7523 eV/atom
Space group   No. 216
Distance to the lowest polymorph of the same formula   730 meV per atom
Crystal system   cubic

Lattice parameters (Å, degrees): 4.739 4.739 4.739 60.00 60.00 60.00
Sites, in units of the cell vectors:
Cl 0.000 0.000 0.000
Os 0.500 0.500 0.500
Cl 0.250 0.250 0.250
Sb 0.750 0.750 0.750

7.
Computed, not measured: a geometry-optimized As2PtBr2 structure at the PBE-GGA level of DFT.

Computed properties:
Energy relative to the elements, uncorrected   0.8718 eV/atom
Space group   No. 127
Distance to the lowest polymorph of the same formula   265 meV per atom
Crystal system   tetragonal

Lattice parameters (Å, degrees): 8.402 8.402 3.138 90.00 90.00 90.00
Sites, in units of the cell vectors:
Br 0.621 0.121 0.000
As 0.206 0.706 0.500
Pt 0.000 0.000 0.000
Br 0.379 0.879 0.000
Br 0.879 0.621 0.000
Br 0.121 0.379 0.000
As 0.794 0.294 0.500
As 0.706 0.794 0.500
As 0.294 0.206 0.500
Pt 0.500 0.500 0.000

8.
Computed, not measured: a geometry-optimized Y2ZrP structure at the PBE-GGA level of DFT.

Computed properties:
Space group   No. 44
ΔE_f   -524.5 meV/atom
Crystal system   orthorhombic

Lattice parameters (Å, degrees): 6.210 6.210 6.210 146.82 130.34 61.04
Sites, in units of the cell vectors:
Y 0.556 0.056 0.500
Zr 0.937 0.437 0.500
P 0.759 0.759 0.000
Y 0.247 0.247 0.000

Q: Which magnetic moment values were calculated for the entries above? A: 0.000; 14.000; 0.000; 0.000; 0.000; 1.055; 0.000; 0.000, in Bohr magnetons per cell.